# 1
BaMg2CdAg | PBE | optimized geometry

a b c (Å): 4.683 4.683 12.942
angles (deg): 90.00 90.00 90.00
Space group I4mm (No. 107)
One atom of each set of equivalent atoms:
Ba  0.000  0.000  0.000 [2 per cell]
Mg  0.000  0.500  0.257 [4 per cell]
Cd  0.000  0.000  0.614 [2 per cell]
Ag  0.000  0.000  0.385 [2 per cell]

Summary:
Crystal system: tetragonal

=====

# 2
AcIrPb | PBE | optimized geometry

a b c (Å): 7.138 7.138 7.138
angles (deg): 90.00 90.00 90.00
Space group F-43m (No. 216)
One atom of each set of equivalent atoms:
Ac  0.000  0.000  0.000 [4 per cell]
Ir  0.000  0.000  0.500 [4 per cell]
Pb  0.250  0.250  0.250 [4 per cell]

Summary:
Crystal system: cubic
E above lowest polymorph, meV/atom: 0

=====

# 3
ErTm2Ga3CuAu2 | PBE | optimized geometry

a b c (Å): 3.886 12.608 7.261
angles (deg): 90.00 90.00 90.00
Space group Amm2 (No. 38)
One atom of each set of equivalent atoms:
Er  0.000  0.000  0.000 [2 per cell]
Tm  0.000  0.202  0.606 [4 per cell]
Ga  0.500  0.000  0.642 [2 per cell]
Ga  0.500  0.119  0.285 [4 per cell]
Cu  0.000  0.000  0.405 [2 per cell]
Au  0.500  0.167  0.904 [4 per cell]

Summary:
Crystal system: orthorhombic

=====

# 4
Y2AlPd2 | PBE | optimized geometry

a b c (Å): 7.430 7.430 3.859
angles (deg): 90.00 90.00 90.00
Space group P4/mbm (No. 127)
One atom of each set of equivalent atoms:
Y  0.175  0.325  0.000 [4 per cell]
Al  0.000  0.000  0.500 [2 per cell]
Pd  0.132  0.632  0.500 [4 per cell]

Summary:
Crystal system: tetragonal

=====

# 5
CsHfCu | PBE | optimized geometry

a b c (Å): 6.883 6.883 6.883
angles (deg): 90.00 90.00 90.00
Space group F-43m (No. 216)
One atom of each set of equivalent atoms:
Cs  0.000  0.000  0.000 [4 per cell]
Hf  0.250  0.250  0.250 [4 per cell]
Cu  0.250  0.250  0.750 [4 per cell]

Summary:
Crystal system: cubic
E above lowest polymorph, meV/atom: 453

=====

# 6
AgPd | PBE | optimized geometry

a b c (Å): 2.829 2.835 4.935
angles (deg): 73.88 73.60 60.23
Space group P-1 (No. 2)
One atom of each set of equivalent atoms:
Ag  0.000  0.000  0.000 [1 per cell]
Pd  0.500  0.500  0.500 [1 per cell]

Summary:
Crystal system: triclinic
Energy of formation from the pure elements, eV per formula unit: -0.126

=====

# 7
KCo3Si5 | PBE | optimized geometry

a b c (Å): 4.7123 4.7123 8.4191
angles (deg): 90.00 90.00 120.00
Space group P6/mmm (No. 191)
One atom of each set of equivalent atoms:
K  0.0000  0.0000  0.0000 [1 per cell]
Co  0.0000  0.5000  0.5000 [3 per cell]
Si  0.0000  0.0000  0.5000 [1 per cell]
Si  0.3333  0.6667  0.2745 [4 per cell]

Summary:
Crystal system: hexagonal

=====

# 8
ReGe2Au | PBE | optimized geometry

a b c (Å): 6.482 6.482 6.482
angles (deg): 90.00 90.00 90.00
Space group F-43m (No. 216)
One atom of each set of equivalent atoms:
Re  0.000  0.000  0.000 [4 per cell]
Ge  0.000  0.000  0.500 [4 per cell]
Ge  0.250  0.250  0.750 [4 per cell]
Au  0.250  0.250  0.250 [4 per cell]

Summary:
Crystal system: cubic

=====

# 9
HfZn2O4 | PBE | optimized geometry

a b c (Å): 8.684 8.684 8.684
angles (deg): 90.00 90.00 90.00
Space group Fd-3m (No. 227, origin choice 2)
One atom of each set of equivalent atoms:
Hf  0.125  0.125  0.125 [8 per cell]
Zn  0.000  0.000  0.500 [16 per cell]
O  0.006  0.006  0.744 [32 per cell]

Summary:
Crystal system: cubic

=====

# 10
NbCo | PBE | optimized geometry

a b c (Å): 4.1435 4.1435 4.8798
angles (deg): 90.00 90.00 120.00
Space group P6_3/mmc (No. 194)
One atom of each set of equivalent atoms:
Nb  0.3333  0.6667  0.2500 [2 per cell]
Co  0.3333  0.6667  0.7500 [2 per cell]

Summary:
Crystal system: hexagonal
Energy of formation from the pure elements, eV per formula unit: 1.328

=====

# 11
MgZnSO | PBE | optimized geometry

a b c (Å): 6.059 7.183 5.735
angles (deg): 90.00 90.00 90.00
Space group Pca2_1 (No. 29)
One atom of each set of equivalent atoms:
Mg  0.118  0.084  0.000 [4 per cell]
Zn  0.055  0.652  0.075 [4 per cell]
S  0.069  0.644  0.668 [4 per cell]
O  0.086  0.100  0.653 [4 per cell]

Summary:
Crystal system: orthorhombic
E above lowest polymorph, meV/atom: 0

=====

# 12
Li2Cu2W3 | PBE | optimized geometry

a b c (Å): 4.2807 4.2807 18.8785
angles (deg): 90.00 90.00 120.00
Space group R3m (No. 160, hexagonal axes)
One atom of each set of equivalent atoms:
Li  0.0000  0.0000  0.0000 [3 per cell]
Li  0.0000  0.0000  0.4214 [3 per cell]
Cu  0.0000  0.0000  0.1316 [3 per cell]
Cu  0.0000  0.0000  0.7062 [3 per cell]
W  0.0000  0.0000  0.2726 [3 per cell]
W  0.0000  0.0000  0.5643 [3 per cell]
W  0.0000  0.0000  0.8499 [3 per cell]

Summary:
Crystal system: trigonal

=====

| no. | DFT total energy (eV per atom) |
| --- | --- |
| 1 | -1.9761 |
| 2 | -5.2395 |
| 3 | -4.3607 |
| 4 | -6.2234 |
| 5 | -2.7796 |
| 6 | -4.0627 |
| 7 | -5.6266 |
| 8 | -5.5149 |
| 9 | -6.7784 |
| 10 | -7.9363 |
| 11 | -4.5775 |
| 12 | -6.7738 |